<A>
{
  "formula": "Cu2Ni2Te",
  "functional": "PBE",
  "state": "optimized geometry",
  "n_ef_per_ev_atom": 0.38,
  "spacegroup": "P4/mbm, No. 127",
  "m_tot_mub_per_fu": 0.00,
  "lattice_angstrom": [[6.8854, 0.0000, 0.0000], [0.0000, 6.8854, 0.0000], [0.0000, 0.0000, 2.9734]],
  "species": ["Ni", "Ni", "Ni", "Ni", "Cu", "Cu", "Cu", "Cu", "Te", "Te"],
  "frac_coords": [[0.8379, 0.3379, 0.5000], [0.3379, 0.1621, 0.5000], [0.1621, 0.6621, 0.5000], [0.6621, 0.8379, 0.5000], [0.1285, 0.3715, 0.0000], [0.3715, 0.8715, 0.0000], [0.6285, 0.1285, 0.0000], [0.8715, 0.6285, 0.0000], [0.0000, 0.0000, 0.0000], [0.5000, 0.5000, 0.0000]]
}



<B>
{
  "formula": "Cu2Ni2Te",
  "functional": "PBE",
  "state": "optimized geometry",
  "n_ef_per_ev_atom": 0.66,
  "spacegroup": "P4/mbm, No. 127",
  "m_tot_mub_per_fu": 0.00,
  "lattice_angstrom": [[-2.6822, 3.7368, 4.4404], [-4.6170, 1.5899, -4.1268], [-1.9206, -2.6972, 1.1097]],
  "species": ["Cu", "Cu", "Cu", "Cu", "Te", "Te", "Ni", "Ni", "Ni", "Ni"],
  "frac_coords": [[0.1483, 0.6483, 0.5000], [0.3517, 0.1483, 0.5000], [0.6483, 0.8517, 0.5000], [0.8517, 0.3517, 0.5000], [0.0000, 0.0000, 0.0000], [0.5000, 0.5000, 0.0000], [0.8616, 0.6384, 0.0000], [0.3616, 0.8616, 0.0000], [0.6384, 0.1384, 0.0000], [0.1384, 0.3616, 0.0000]]
}



The calculated energies rank the structures as follows, beginning with the most stable: <B>, <A>.



<A>
{
  "formula": "CuNi2Te2",
  "functional": "PBE",
  "state": "optimized geometry",
  "n_ef_per_ev_atom": 0.61,
  "spacegroup": "P4/mbm, No. 127",
  "m_tot_mub_per_fu": 0.00,
  "lattice_angstrom": [[6.8424, 0.0000, 0.0000], [0.0000, 6.8424, 0.0000], [0.0000, 0.0000, 3.6336]],
  "species": ["Te", "Te", "Te", "Te", "Cu", "Cu", "Ni", "Ni", "Ni", "Ni"],
  "frac_coords": [[0.6734, 0.8266, 0.5000], [0.3266, 0.1734, 0.5000], [0.8266, 0.3266, 0.5000], [0.1734, 0.6734, 0.5000], [0.5000, 0.5000, 0.0000], [0.0000, 0.0000, 0.0000], [0.8696, 0.6304, 0.0000], [0.1304, 0.3696, 0.0000], [0.3696, 0.8696, 0.0000], [0.6304, 0.1304, 0.0000]]
}



<B>
{
  "formula": "CuNi2Te2",
  "functional": "PBE",
  "state": "optimized geometry",
  "n_ef_per_ev_atom": 0.60,
  "spacegroup": "I4/mmm, No. 139",
  "m_tot_mub_per_fu": 0.00,
  "lattice_angstrom": [[-3.5807, 2.2743, -2.7065], [2.5594, -0.9895, -4.2177], [-2.2830, -2.5395, -3.7911]],
  "species": ["Te", "Te", "Ni", "Ni", "Cu"],
  "frac_coords": [[0.2500, 0.7500, 0.5000], [0.7500, 0.2500, 0.5000], [0.3368, 0.3368, 0.3265], [0.6632, 0.6632, 0.6735], [0.0000, 0.0000, 0.0000]]
}



The calculated energies rank the structures as follows, beginning with the most stable: <A>, <B>.



<A>
{
  "formula": "Th2Cu2Ni3",
  "functional": "PBE",
  "state": "optimized geometry",
  "n_ef_per_ev_atom": 0.65,
  "spacegroup": "Cmcm, No. 63",
  "m_tot_mub_per_fu": 0.00,
  "lattice_angstrom": [[3.8108, 0.0000, -0.9085], [0.0000, 7.0042, 0.0000], [0.1575, 0.0000, 9.1071]],
  "species": ["Th", "Th", "Th", "Th", "Ni", "Ni", "Ni", "Ni", "Ni", "Ni", "Cu", "Cu", "Cu", "Cu"],
  "frac_coords": [[0.8454, 0.7500, 0.6908], [0.9356, 0.2500, 0.8711], [0.0644, 0.7500, 0.1289], [0.1546, 0.2500, 0.3092], [0.4403, 0.9292, 0.8806], [0.2269, 0.7500, 0.4539], [0.5597, 0.0708, 0.1194], [0.4403, 0.5708, 0.8806], [0.7731, 0.2500, 0.5461], [0.5597, 0.4292, 0.1194], [0.3072, 0.0597, 0.6144], [0.6928, 0.9403, 0.3856], [0.6928, 0.5597, 0.3856], [0.3072, 0.4403, 0.6144]]
}



<B>
{
  "formula": "Th2Cu2Ni3",
  "functional": "PBE",
  "state": "optimized geometry",
  "n_ef_per_ev_atom": 0.65,
  "spacegroup": "C2/m, No. 12",
  "m_tot_mub_per_fu": 0.00,
  "lattice_angstrom": [[-2.2910, -0.0661, -3.2591], [1.7875, -6.3630, -1.1275], [-2.7477, 0.0685, 4.3655]],
  "species": ["Ni", "Ni", "Ni", "Cu", "Cu", "Th", "Th"],
  "frac_coords": [[0.6618, 0.2188, 0.3236], [0.0000, 0.0000, 0.0000], [0.3382, 0.7812, 0.6764], [0.8696, 0.5729, 0.7393], [0.1304, 0.4271, 0.2607], [0.6244, 0.7796, 0.2488], [0.3756, 0.2204, 0.7512]]
}



The calculated energies rank the structures as follows, beginning with the most stable: <A>, <B>.



<A>
{
  "formula": "ThCu2Ni4",
  "functional": "PBE",
  "state": "optimized geometry",
  "n_ef_per_ev_atom": 0.64,
  "spacegroup": "Immm, No. 71",
  "m_tot_mub_per_fu": 0.00,
  "lattice_angstrom": [[-2.6332, 3.9235, -1.2884], [-4.2700, -0.6759, -2.6623], [-3.6225, 1.6652, 3.1437]],
  "species": ["Cu", "Cu", "Ni", "Ni", "Ni", "Ni", "Th"],
  "frac_coords": [[0.7497, 0.5002, 0.5002], [0.2503, 0.4998, 0.4998], [0.6944, 0.6118, 0.9998], [0.3056, 0.0002, 0.3882], [0.6945, 0.9998, 0.6118], [0.3056, 0.3882, 0.0002], [0.0000, 0.0000, 0.0000]]
}



<B>
{
  "formula": "ThCu2Ni4",
  "functional": "PBE",
  "state": "optimized geometry",
  "n_ef_per_ev_atom": 1.06,
  "spacegroup": "I4/mmm, No. 139",
  "m_tot_mub_per_fu": 0.79,
  "lattice_angstrom": [[5.5277, -0.6363, 0.0000], [-2.8137, 4.8004, 0.0000], [-1.3570, -2.0820, 4.9784]],
  "species": ["Ni", "Ni", "Ni", "Ni", "Cu", "Cu", "Th"],
  "frac_coords": [[0.5000, 0.7236, 0.2236], [0.2764, 0.5000, 0.7764], [0.5000, 0.2764, 0.7764], [0.7236, 0.5000, 0.2236], [0.2500, 0.7500, 0.5000], [0.7500, 0.2500, 0.5000], [0.0000, 0.0000, 0.0000]]
}



The calculated energies rank the structures as follows, beginning with the most stable: <A>, <B>.



<A>
{
  "formula": "ThCuNi2",
  "functional": "PBE",
  "state": "optimized geometry",
  "n_ef_per_ev_atom": 0.59,
  "spacegroup": "R-3m, No. 166",
  "m_tot_mub_per_fu": 0.00,
  "lattice_angstrom": [[-2.6103, -2.8217, 1.5414], [0.7583, -1.7266, 3.6872], [-2.9784, 1.7754, 3.7698]],
  "species": ["Ni", "Ni", "Th", "Cu"],
  "frac_coords": [[0.7947, 0.7947, 0.6159], [0.2053, 0.2053, 0.3841], [0.0000, 0.0000, 0.0000], [0.5000, 0.5000, 0.5000]]
}



<B>
{
  "formula": "ThCuNi2",
  "functional": "PBE",
  "state": "optimized geometry",
  "n_ef_per_ev_atom": 0.58,
  "spacegroup": "Cmmm, No. 65",
  "m_tot_mub_per_fu": 0.00,
  "lattice_angstrom": [[3.6421, 0.0000, 0.0000], [0.0000, 4.6390, -0.5131], [0.0000, -1.5955, 4.3861]],
  "species": ["Cu", "Ni", "Ni", "Th"],
  "frac_coords": [[0.5000, 0.4450, 0.5550], [0.5000, 0.4450, 0.0550], [0.5000, 0.9450, 0.5550], [0.0000, 0.9450, 0.0550]]
}



The calculated energies rank the structures as follows, beginning with the most stable: <A>, <B>.



<A>
{
  "formula": "TmThCuNi",
  "functional": "PBE",
  "state": "optimized geometry",
  "n_ef_per_ev_atom": 1.07,
  "spacegroup": "F-43m, No. 216",
  "m_tot_mub_per_fu": 0.00,
  "lattice_angstrom": [[4.9055, 0.0000, 0.0000], [2.4528, 4.2483, 0.0000], [2.4528, 1.4161, 4.0054]],
  "species": ["Tm", "Th", "Ni", "Cu"],
  "frac_coords": [[0.0000, 0.0000, 0.0000], [0.5000, 0.5000, 0.5000], [0.7500, 0.7500, 0.7500], [0.2500, 0.2500, 0.2500]]
}



<B>
{
  "formula": "TmThCuNi",
  "functional": "PBE",
  "state": "optimized geometry",
  "n_ef_per_ev_atom": 0.72,
  "spacegroup": "Amm2, No. 38",
  "m_tot_mub_per_fu": 0.00,
  "lattice_angstrom": [[3.6640, 0.0000, 0.0000], [0.0000, 4.2911, 0.0000], [-1.8320, 0.0000, 5.4017]],
  "species": ["Tm", "Th", "Cu", "Ni"],
  "frac_coords": [[0.1381, 0.0000, 0.2761], [0.8650, 0.5000, 0.7301], [0.5793, 0.5000, 0.1586], [0.4176, 0.0000, 0.8352]]
}



The calculated energies rank the structures as follows, beginning with the most stable: <B>, <A>.



<A>
{
  "formula": "Ti4CuNi",
  "functional": "PBE",
  "state": "optimized geometry",
  "n_ef_per_ev_atom": 1.10,
  "spacegroup": "C2/m, No. 12",
  "m_tot_mub_per_fu": 0.00,
  "lattice_angstrom": [[2.8570, 0.0000, 0.0000], [0.0000, 5.0238, -0.0498], [0.0000, -0.0870, 12.8386]],
  "species": ["Ti", "Ti", "Ti", "Ti", "Ti", "Ti", "Ti", "Ti", "Ni", "Ni", "Cu", "Cu"],
  "frac_coords": [[0.0000, 0.6658, 0.8375], [0.0000, 0.3302, 0.6630], [0.5000, 0.8342, 0.6625], [0.0000, 0.3342, 0.1625], [0.5000, 0.1658, 0.3375], [0.0000, 0.6698, 0.3370], [0.5000, 0.8302, 0.1630], [0.5000, 0.1698, 0.8370], [0.0000, 0.0000, 0.5000], [0.5000, 0.5000, 0.0000], [0.0000, 0.0000, 0.0000], [0.5000, 0.5000, 0.5000]]
}



<B>
{
  "formula": "Ti4CuNi",
  "functional": "PBE",
  "state": "optimized geometry",
  "n_ef_per_ev_atom": 0.89,
  "spacegroup": "P4/mmm, No. 123",
  "m_tot_mub_per_fu": 0.00,
  "lattice_angstrom": [[2.9709, -0.0006, 0.0001], [0.0006, 2.9709, 0.0001], [-0.0005, -0.0005, 10.2605]],
  "species": ["Ni", "Cu", "Ti", "Ti", "Ti", "Ti"],
  "frac_coords": [[0.5000, 0.5000, 0.5000], [0.0000, 0.0000, 0.0000], [0.5000, 0.5000, 0.8326], [0.5000, 0.5000, 0.1674], [0.0000, 0.0000, 0.6523], [0.0000, 0.0000, 0.3477]]
}



The calculated energies rank the structures as follows, beginning with the most stable: <B>, <A>.



<A>
{
  "formula": "Ti3Cu3Ni2",
  "functional": "PBE",
  "state": "optimized geometry",
  "n_ef_per_ev_atom": 0.83,
  "spacegroup": "P-62m, No. 189",
  "m_tot_mub_per_fu": 0.00,
  "lattice_angstrom": [[3.0326, 0.0000, 0.0000], [0.0000, 5.6212, -3.2454], [0.0000, 0.0000, 6.4908]],
  "species": ["Ni", "Ni", "Ti", "Ti", "Ti", "Cu", "Cu", "Cu"],
  "frac_coords": [[0.0000, 0.3333, 0.6667], [0.0000, 0.6667, 0.3333], [0.5000, 0.4122, 0.4122], [0.5000, 0.5878, 0.0000], [0.5000, 0.0000, 0.5878], [0.0000, 0.0000, 0.2310], [0.0000, 0.2310, 0.0000], [0.0000, 0.7690, 0.7690]]
}



<B>
{
  "formula": "Ti3Cu3Ni2",
  "functional": "PBE",
  "state": "optimized geometry",
  "n_ef_per_ev_atom": 0.72,
  "spacegroup": "C2/m, No. 12",
  "m_tot_mub_per_fu": 1.27,
  "lattice_angstrom": [[4.3192, 0.0000, -0.5384], [0.0000, 4.2373, 0.0000], [-1.2938, -2.1187, 6.0360]],
  "species": ["Cu", "Cu", "Cu", "Ni", "Ni", "Ti", "Ti", "Ti"],
  "frac_coords": [[0.5000, 0.5000, 0.0000], [0.1548, 0.6266, 0.2531], [0.8452, 0.3734, 0.7469], [0.1804, 0.2475, 0.4949], [0.8196, 0.7525, 0.5051], [0.4080, 0.8518, 0.7037], [0.0000, 0.0000, 0.0000], [0.5920, 0.1482, 0.2963]]
}



The calculated energies rank the structures as follows, beginning with the most stable: <A>, <B>.



<A>
{
  "formula": "TiCuNi6",
  "functional": "PBE",
  "state": "optimized geometry",
  "n_ef_per_ev_atom": 1.32,
  "spacegroup": "C2/m, No. 12",
  "m_tot_mub_per_fu": 0.00,
  "lattice_angstrom": [[-0.4037, -3.9981, 1.5769], [0.8763, -0.3033, 4.2160], [-5.7202, -0.0486, 2.8425]],
  "species": ["Cu", "Ni", "Ni", "Ni", "Ni", "Ni", "Ni", "Ti"],
  "frac_coords": [[0.0000, 0.0000, 0.0000], [0.4618, 0.9445, 0.6992], [0.6421, 0.6421, 0.0593], [0.3579, 0.3579, 0.9407], [0.0555, 0.5382, 0.3008], [0.9445, 0.4618, 0.6992], [0.5382, 0.0555, 0.3008], [0.5000, 0.5000, 0.5000]]
}



<B>
{
  "formula": "TiCuNi6",
  "functional": "PBE",
  "state": "optimized geometry",
  "n_ef_per_ev_atom": 1.14,
  "spacegroup": "P4/mmm, No. 123",
  "m_tot_mub_per_fu": 1.34,
  "lattice_angstrom": [[-3.3606, -1.0868, -0.3438], [1.4211, -4.7451, 1.1089], [-0.7996, 0.9134, 4.9286]],
  "species": ["Ni", "Ni", "Ni", "Ni", "Ni", "Ni", "Cu", "Ti"],
  "frac_coords": [[0.0000, 0.7524, 0.7524], [0.0000, 0.7524, 0.2476], [0.0000, 0.2476, 0.7524], [0.0000, 0.2476, 0.2476], [0.5000, 0.0000, 0.5000], [0.5000, 0.5000, 0.0000], [0.5000, 0.0000, 0.0000], [0.5000, 0.5000, 0.5000]]
}



The calculated energies rank the structures as follows, beginning with the most stable: <B>, <A>.



<A>
{
  "formula": "TiCu2Ni8",
  "functional": "PBE",
  "state": "optimized geometry",
  "n_ef_per_ev_atom": 1.27,
  "spacegroup": "Cmmm, No. 65",
  "m_tot_mub_per_fu": 2.41,
  "lattice_angstrom": [[3.8214, 0.2152, -0.1404], [-0.3934, 5.6667, -1.9168], [0.1960, 0.3546, 5.9814]],
  "species": ["Cu", "Cu", "Ni", "Ni", "Ni", "Ni", "Ni", "Ni", "Ni", "Ni", "Ti"],
  "frac_coords": [[0.0000, 0.6216, 0.3784], [0.0000, 0.3784, 0.6216], [0.5002, 0.3329, 0.3329], [0.4998, 0.6671, 0.6671], [0.5000, 0.2477, 0.7523], [0.5000, 0.7523, 0.2477], [0.0005, 0.0354, 0.3035], [0.0005, 0.3035, 0.0354], [0.9995, 0.9646, 0.6965], [0.9995, 0.6965, 0.9646], [0.5000, 0.0000, 0.0000]]
}



<B>
{
  "formula": "TiCu2Ni8",
  "functional": "PBE",
  "state": "optimized geometry",
  "n_ef_per_ev_atom": 1.43,
  "spacegroup": "C2/m, No. 12",
  "m_tot_mub_per_fu": 0.66,
  "lattice_angstrom": [[-3.8952, 1.8887, -0.1824], [-5.1447, -1.1028, -3.8610], [-4.7440, -4.6379, 2.1304]],
  "species": ["Ni", "Ni", "Ni", "Ni", "Ni", "Ni", "Ni", "Ni", "Cu", "Cu", "Ti"],
  "frac_coords": [[0.7430, 0.5104, 0.0000], [0.7651, 0.3733, 0.7300], [0.2349, 0.6267, 0.2700], [0.2570, 0.4896, 0.0000], [0.5000, 0.8064, 0.3872], [0.2349, 0.8968, 0.7300], [0.5000, 0.1936, 0.6128], [0.7651, 0.1032, 0.2700], [0.0000, 0.3168, 0.3664], [0.0000, 0.6832, 0.6336], [0.5000, 0.0000, 0.0000]]
}



The calculated energies rank the structures as follows, beginning with the most stable: <B>, <A>.



<A>
{
  "formula": "TlCu2Ni",
  "functional": "PBE",
  "state": "optimized geometry",
  "n_ef_per_ev_atom": 0.35,
  "spacegroup": "I-42d, No. 122",
  "m_tot_mub_per_fu": 0.00,
  "lattice_angstrom": [[-2.4191, -0.8813, -2.6442], [1.3125, -3.4489, -0.0512], [-6.7316, -4.6124, 5.1204]],
  "species": ["Tl", "Tl", "Cu", "Cu", "Cu", "Cu", "Ni", "Ni"],
  "frac_coords": [[0.7500, 0.2500, 0.5000], [0.0000, 0.0000, 0.0000], [0.1513, 0.6250, 0.2500], [0.3750, 0.4013, 0.7500], [0.8750, 0.8487, 0.7500], [0.5987, 0.1250, 0.2500], [0.5000, 0.5000, 0.0000], [0.2500, 0.7500, 0.5000]]
}



<B>
{
  "formula": "TlCu2Ni",
  "functional": "PBE",
  "state": "optimized geometry",
  "n_ef_per_ev_atom": 0.58,
  "spacegroup": "C2/m, No. 12",
  "m_tot_mub_per_fu": 0.00,
  "lattice_angstrom": [[4.9161, -0.2345, 0.4207], [3.7868, 3.1438, 0.4207], [1.4429, 0.4824, 3.6856]],
  "species": ["Tl", "Cu", "Cu", "Ni"],
  "frac_coords": [[0.2500, 0.2500, 0.2500], [0.0075, 0.0075, 0.9974], [0.4925, 0.4925, 0.5026], [0.7500, 0.7500, 0.7500]]
}



The calculated energies rank the structures as follows, beginning with the most stable: <B>, <A>.



<A>
{
  "formula": "TlCuNi",
  "functional": "PBE",
  "state": "optimized geometry",
  "n_ef_per_ev_atom": 0.39,
  "spacegroup": "F-43m, No. 216",
  "m_tot_mub_per_fu": 0.00,
  "lattice_angstrom": [[4.2206, 0.0000, 0.0000], [2.1103, 3.6552, 0.0000], [2.1103, 1.2184, 3.4461]],
  "species": ["Ni", "Tl", "Cu"],
  "frac_coords": [[0.2500, 0.2500, 0.2500], [0.0000, 0.0000, 0.0000], [0.5000, 0.5000, 0.5000]]
}



<B>
{
  "formula": "TlCuNi",
  "functional": "PBE",
  "state": "optimized geometry",
  "n_ef_per_ev_atom": 0.53,
  "spacegroup": "P3m1, No. 156",
  "m_tot_mub_per_fu": 0.00,
  "lattice_angstrom": [[4.2241, 0.0000, 0.0000], [-2.1121, 3.6582, 0.0000], [0.0000, 0.0000, 3.0587]],
  "species": ["Ni", "Tl", "Cu"],
  "frac_coords": [[0.6667, 0.3333, 0.2625], [0.3333, 0.6667, 0.6690], [0.0000, 0.0000, 0.0685]]
}



The calculated energies rank the structures as follows, beginning with the most stable: <A>, <B>.